Crystalline NaCoPO4 at its relaxed geometry, computed with PBE with a Hubbard U.

Unit cell a=5.178 b=9.901 c=7.361 alpha=90.00 beta=89.93 gamma=90.00
Site moments in Bohr magnetons follow the coordinates.
Atoms (fractional coordinates):
Co (0.701, 0.171, 0.005)  2.71
Co (0.799, 0.671, 0.495)  2.71
Co (0.201, 0.329, 0.505)  2.71
Co (0.299, 0.829, 0.995)  2.71
Na (0.215, 0.385, 0.015)  0.00
Na (0.285, 0.885, 0.485)  0.00
Na (0.715, 0.115, 0.515)  0.00
Na (0.785, 0.615, 0.985)  0.00
O (0.660, 0.827, 0.070)  0.04
O (0.786, 0.360, 0.082)  0.04
O (0.095, 0.871, 0.209)  0.04
O (0.750, 0.057, 0.216)  0.04
O (0.750, 0.557, 0.284)  0.04
O (0.405, 0.371, 0.291)  0.04
O (0.714, 0.860, 0.418)  0.04
O (0.840, 0.327, 0.430)  0.04
O (0.160, 0.673, 0.570)  0.04
O (0.286, 0.140, 0.582)  0.04
O (0.595, 0.629, 0.709)  0.04
O (0.250, 0.443, 0.716)  0.04
O (0.250, 0.943, 0.784)  0.04
O (0.905, 0.129, 0.791)  0.04
O (0.214, 0.640, 0.918)  0.04
O (0.340, 0.173, 0.930)  0.04
P (0.802, 0.903, 0.223)  0.01
P (0.698, 0.403, 0.277)  0.01
P (0.302, 0.597, 0.723)  0.01
P (0.198, 0.097, 0.777)  0.01

Energy above the lowest structure with this stoichiometry ... 0 meV per atom